Entry 1:
Below is crystalline Na5B6C4 at its relaxed geometry, with properties calculated at the PBE-GGA level.

Cell: 7.5827 7.5827 10.2377 Å, 121.99 121.99 38.11°
Element x y z (fractional)
B (0.4345, 0.7656, 0.2500)
B (0.7656, 0.4345, 0.7500)
B (0.8344, 0.1655, 0.2500)
B (0.9678, 0.6322, 0.2500)
B (0.6168, 0.9832, 0.2500)
B (0.1655, 0.8344, 0.7500)
B (0.5694, 0.2422, 0.7501)
B (0.2422, 0.5694, 0.2501)
B (0.0306, 0.3578, 0.2499)
B (0.9832, 0.6168, 0.7500)
B (0.3578, 0.0306, 0.7499)
B (0.6322, 0.9678, 0.7500)
C (0.3657, 0.0314, 0.2496)
C (0.2343, 0.5686, 0.7504)
C (0.4263, 0.7681, 0.7500)
C (0.7681, 0.4263, 0.2500)
C (0.8319, 0.1737, 0.7500)
C (0.1737, 0.8319, 0.2500)
C (0.5686, 0.2343, 0.2504)
C (0.0314, 0.3657, 0.7496)
Na (0.0001, 0.9993, 0.4980)
Na (0.3973, 0.4003, 0.9978)
Na (0.8000, 0.8000, 0.5000)
Na (0.6007, 0.5999, 0.0020)
Na (0.9993, 0.0001, 0.9980)
Na (0.4003, 0.3973, 0.4978)
Na (0.5999, 0.6007, 0.5020)
Na (0.8000, 0.8000, 0.0000)
Na (0.2027, 0.1997, 0.0022)
Na (0.1997, 0.2027, 0.5022)

Its total energy is -5.49 eV/atom. The value obtained for the distance to the lowest polymorph of the same formula is 0.032 eV per atom. The density comes out at 2515 kg/m³. The value obtained for the energy of formation from the pure elements is 0.084 eV/atom.

=====

Entry 2:
Below is crystalline NaBC at its relaxed geometry, with properties calculated at the PBE-GGA level.

Cell: 7.1916 4.3642 4.3642 Å, 124.53 108.70 71.30°
Element x y z (fractional)
Na (0.5147, 0.0546, 0.9454)
Na (0.0387, 0.2136, 0.7864)
C (0.2764, 0.2263, 0.4221)
C (0.2764, 0.5779, 0.7737)
B (0.2756, 0.7938, 0.2062)
B (0.2766, 0.5760, 0.4240)

Its total energy is -5.59 eV/atom. The density comes out at 1446 kg/m³. The value obtained for the energy of formation from the pure elements is 0.151 eV/atom.

=====

Entry 3:
Below is crystalline Na2B3C at its relaxed geometry, with properties calculated at the PBE-GGA level.

Cell: 9.1096 9.1096 5.7615 Å, 99.08 99.08 32.66°
Element x y z (fractional)
Na (0.7513, 0.7529, 0.3760)
Na (0.4990, 0.4986, 0.2489)
Na (0.4971, 0.4987, 0.7490)
Na (0.9972, 0.0010, 0.4996)
Na (0.9982, 0.0017, 0.0002)
Na (0.7514, 0.7510, 0.8761)
Na (0.2490, 0.2528, 0.6254)
Na (0.2483, 0.2518, 0.1248)
B (0.9456, 0.3040, 0.3125)
B (0.2786, 0.9721, 0.8124)
B (0.7073, 0.0435, 0.6887)
B (0.2779, 0.9714, 0.3126)
B (0.0332, 0.7165, 0.1761)
B (0.0539, 0.6952, 0.7023)
B (0.2065, 0.5427, 0.4363)
B (0.4874, 0.7626, 0.5625)
B (0.4872, 0.7628, 0.0625)
B (0.5548, 0.1961, 0.4227)
B (0.9460, 0.3044, 0.8125)
B (0.5335, 0.2168, 0.9489)
C (0.7895, 0.4605, 0.5625)
C (0.7896, 0.4604, 0.0625)
C (0.2086, 0.5408, 0.9432)
C (0.7092, 0.0414, 0.1818)

Its total energy is -5.14 eV/atom. The value obtained for the distance to the lowest polymorph of the same formula is 0.044 eV per atom. The density comes out at 2360 kg/m³. The value obtained for the energy of formation from the pure elements is 0.177 eV/atom.

=====

Entry 4:
Below is crystalline Na5B6C4 at its relaxed geometry, with properties calculated at the PBE-GGA level.

Cell: 7.5818 7.5819 8.4760 Å, 90.00 90.00 141.87°
Element x y z (fractional)
Na (0.9982, 0.9990, 0.5022)
Na (0.4000, 0.6000, 0.5000)
Na (0.8018, 0.2010, 0.0022)
Na (0.1998, 0.8008, 0.0021)
Na (0.8018, 0.2010, 0.4978)
Na (0.6002, 0.3992, 0.5021)
Na (0.1998, 0.8008, 0.4979)
Na (0.9982, 0.9990, 0.9978)
Na (0.6002, 0.3992, 0.9979)
Na (0.4000, 0.6000, 0.0000)
B (0.3319, 0.3321, 0.7500)
B (0.7421, 0.9306, 0.2500)
B (0.5305, 0.1419, 0.2500)
B (0.8657, 0.4659, 0.7500)
B (0.3341, 0.3344, 0.2500)
B (0.0579, 0.2694, 0.7500)
B (0.2695, 0.0581, 0.7500)
B (0.4681, 0.8679, 0.2500)
B (0.6834, 0.6836, 0.7500)
B (0.1166, 0.5164, 0.2500)
B (0.9343, 0.7341, 0.2500)
B (0.4659, 0.8656, 0.7500)
C (0.7315, 0.9341, 0.7500)
C (0.1260, 0.5317, 0.7500)
C (0.0685, 0.2659, 0.2500)
C (0.5317, 0.1260, 0.7500)
C (0.9340, 0.7316, 0.7500)
C (0.8660, 0.4684, 0.2500)
C (0.6740, 0.6683, 0.2500)
C (0.2683, 0.0740, 0.2500)

Its total energy is -5.49 eV/atom. The value obtained for the distance to the lowest polymorph of the same formula is 0.032 eV per atom. The density comes out at 2515 kg/m³. The value obtained for the energy of formation from the pure elements is 0.084 eV/atom.

=====

Entry 5:
Below is crystalline Na2B3C at its relaxed geometry, with properties calculated at the PBE-GGA level.

Cell: 11.5859 11.5859 9.9914 Å, 106.95 106.95 14.29°
Element x y z (fractional)
B (0.0831, 0.0831, 0.4159)
B (0.3186, 0.3186, 0.3867)
B (0.6238, 0.6238, 0.4974)
B (0.3864, 0.3864, 0.5222)
B (0.9761, 0.9761, 0.7020)
B (0.7852, 0.7852, 0.3202)
B (0.4133, 0.4133, 0.0769)
B (0.2198, 0.2198, 0.6893)
B (0.5159, 0.5159, 0.7829)
B (0.1854, 0.1854, 0.1214)
B (0.1194, 0.1194, 0.9892)
B (0.5804, 0.5804, 0.9113)
B (0.0106, 0.0106, 0.2718)
B (0.8166, 0.8166, 0.8827)
B (0.7168, 0.7168, 0.1838)
Na (0.8002, 0.8002, 0.6014)
Na (0.5990, 0.5990, 0.2024)
Na (0.2008, 0.2008, 0.4022)
Na (0.7006, 0.7006, 0.9008)
Na (0.1008, 0.1008, 0.7006)
Na (0.3000, 0.3000, 0.1000)
Na (0.8998, 0.8998, 0.2980)
Na (0.5014, 0.5014, 0.4948)
Na (0.9993, 0.9993, 0.9995)
Na (0.3988, 0.3988, 0.8015)
C (0.9159, 0.9159, 0.5812)
C (0.2846, 0.2846, 0.8182)
C (0.4786, 0.4786, 0.2083)
C (0.6874, 0.6874, 0.6244)
C (0.8815, 0.8815, 0.0129)

Its total energy is -5.15 eV/atom. The value obtained for the distance to the lowest polymorph of the same formula is 0.032 eV per atom. The density comes out at 2372 kg/m³. The value obtained for the energy of formation from the pure elements is 0.165 eV/atom.

=====

Entry 6:
Below is crystalline NaBC at its relaxed geometry, with properties calculated at the PBE-GGA level.

Cell: 2.7944 4.5562 7.4897 Å, 90.00 91.88 90.00°
Element x y z (fractional)
B (0.2517, 0.1249, 0.5199)
B (0.7483, 0.6249, 0.4801)
C (0.7520, 0.2854, 0.5224)
C (0.2480, 0.7854, 0.4776)
Na (0.2760, 0.5253, 0.7834)
Na (0.7240, 0.0253, 0.2166)

Its total energy is -5.63 eV/atom. The density comes out at 1596 kg/m³. The value obtained for the energy of formation from the pure elements is 0.111 eV/atom.

=====

Entry 7:
Below is crystalline Na5B8C2 at its relaxed geometry, with properties calculated at the PBE-GGA level.

Cell: 7.7081 7.7365 10.4215 Å, 121.75 121.74 38.84°
Element x y z (fractional)
C (0.7618, 0.4423, 0.2499)
C (0.3603, 0.0350, 0.2502)
C (0.0323, 0.3620, 0.7493)
C (0.8380, 0.1683, 0.7507)
B (0.5735, 0.2242, 0.2507)
B (0.2440, 0.5603, 0.7499)
B (0.4462, 0.7660, 0.2499)
B (0.3329, 0.0588, 0.7497)
B (0.6403, 0.9549, 0.7496)
B (0.4478, 0.7537, 0.7507)
B (0.9680, 0.6270, 0.2496)
B (0.5801, 0.2306, 0.7501)
B (0.1634, 0.8380, 0.2495)
B (0.9694, 0.6190, 0.7494)
B (0.2311, 0.5721, 0.2493)
B (0.7789, 0.4213, 0.7501)
B (0.6157, 0.9689, 0.2505)
B (0.8268, 0.1918, 0.2502)
B (0.0368, 0.3513, 0.2499)
B (0.1416, 0.8668, 0.7508)
Na (0.2014, 0.2004, 0.5021)
Na (0.2023, 0.2014, 0.0048)
Na (0.8036, 0.7981, 0.0020)
Na (0.6013, 0.5972, 0.9992)
Na (0.9988, 0.9967, 0.4950)
Na (0.3999, 0.3990, 0.9995)
Na (0.8017, 0.7999, 0.5020)
Na (0.4013, 0.3974, 0.4988)
Na (0.6009, 0.5984, 0.4987)
Na (0.0000, 0.9990, 0.9978)

Its total energy is -5.03 eV/atom. The value obtained for the distance to the lowest polymorph of the same formula is 0.032 eV per atom. The density comes out at 2315 kg/m³. The value obtained for the energy of formation from the pure elements is 0.202 eV/atom.

=====

Entry 8:
Below is crystalline Na5B8C2 at its relaxed geometry, with properties calculated at the PBE-GGA level.

Cell: 9.1592 9.1592 13.6737 Å, 112.16 112.16 17.71°
Element x y z (fractional)
Na (0.8000, 0.8000, 0.0991)
Na (0.5989, 0.5989, 0.1984)
Na (0.8002, 0.8002, 0.6026)
Na (0.5996, 0.5996, 0.7005)
Na (0.2003, 0.2003, 0.3995)
Na (0.1993, 0.1993, 0.8992)
Na (0.4003, 0.4003, 0.8012)
Na (0.4013, 0.4013, 0.3002)
Na (0.0001, 0.0001, 0.9985)
Na (0.9999, 0.9999, 0.5004)
B (0.4296, 0.4296, 0.1076)
B (0.2300, 0.2300, 0.7109)
B (0.6242, 0.6242, 0.4997)
B (0.7731, 0.7731, 0.2958)
B (0.1663, 0.1663, 0.0818)
B (0.2298, 0.2298, 0.2097)
B (0.3774, 0.3774, 0.5050)
B (0.6257, 0.6257, 0.0004)
B (0.8359, 0.8359, 0.4219)
B (0.1667, 0.1667, 0.5851)
B (0.5585, 0.5585, 0.8676)
B (0.0348, 0.0348, 0.3198)
B (0.8388, 0.8388, 0.9262)
B (0.9670, 0.9670, 0.6848)
B (0.9694, 0.9694, 0.1881)
B (0.7727, 0.7727, 0.7951)
C (0.3701, 0.3701, 0.9879)
C (0.5660, 0.5660, 0.3831)
C (0.4364, 0.4364, 0.6227)
C (0.0277, 0.0277, 0.8070)

Its total energy is -5.05 eV/atom. The value obtained for the distance to the lowest polymorph of the same formula is 0.010 eV per atom. The density comes out at 2322 kg/m³. The value obtained for the energy of formation from the pure elements is 0.181 eV/atom.

=====

- Which formula does entry 4 have?
  Na5B6C4

=====

- energy of formation from the pure elements of number 8 (Na5B8C2)?
  0.181 eV/atom